## SrCa2Pm (PBE-GGA)

Data for a relaxed structure of SrCa2Pm.

The structure in POSCAR format:
```
SrCa2Pm
1.0
3.820 0.000 0.000
-1.910 3.308 0.000
0.000 0.000 13.436
Ca Pm Sr
2 1 1
direct
0.667 0.333 0.260
0.333 0.667 0.752
0.667 0.333 0.526
0.000 0.000 0.008
```

Results
Space group: P3m1, No. 156
E: -9.78 eV per cell

---

## SrCa14Pm (PBE-GGA)

Data for a relaxed structure of SrCa14Pm.

The structure in POSCAR format:
```
SrCa14Pm
1.0
-4.042 6.248 -2.319
-0.376 -6.631 -4.080
-9.953 -3.803 7.100
Ca Sr Pm
14 1 1
direct
0.379 0.129 0.251
0.379 0.129 0.749
0.376 0.624 0.254
0.210 0.790 0.000
0.209 0.292 0.000
0.376 0.624 0.746
0.708 0.791 0.000
0.871 0.621 0.251
0.542 0.960 0.500
0.040 0.458 0.500
0.709 0.291 0.000
0.874 0.126 0.752
0.871 0.621 0.749
0.874 0.126 0.248
0.041 0.959 0.500
0.541 0.459 0.500
```

Results
Space group: Amm2, No. 38
E: -33.90 eV per cell

---

## Sr2CaPm (PBE-GGA)

Data for a relaxed structure of Sr2CaPm.

The structure in POSCAR format:
```
Sr2CaPm
1.0
4.405 0.000 0.000
0.000 6.309 0.000
0.000 0.000 6.309
Sr Pm Ca
2 1 1
direct
0.000 0.000 0.500
0.000 0.500 0.000
0.500 0.500 0.500
0.500 0.000 0.000
```

Results
Space group: P4/mmm, No. 123
E: -9.53 eV per cell

---

## SrCaPm (PBE-GGA)

Data for a relaxed structure of SrCaPm.

The structure in POSCAR format:
```
SrCaPm
1.0
6.467 -0.974 -2.897
1.894 3.553 0.221
-3.851 3.551 12.762
Sr Ca Pm
2 2 2
direct
0.577 0.027 0.552
0.658 0.613 0.302
0.307 0.600 0.679
0.928 0.040 0.175
0.278 0.006 0.894
0.957 0.633 0.960
```

Results
Space group: P-1, No. 2
E: -16.37 eV per cell

---

## SrCaPm (PBE-GGA)

Data for a relaxed structure of SrCaPm.

The structure in POSCAR format:
```
SrCaPm
1.0
3.875 0.000 0.000
-1.938 3.356 0.000
0.000 0.000 9.634
Ca Pm Sr
1 1 1
direct
0.333 0.667 0.654
0.667 0.333 0.341
0.000 0.000 0.006
```

Results
Space group: P3m1, No. 156
E: -8.07 eV per cell

---

## SrCa4Pm (PBE-GGA)

Data for a relaxed structure of SrCa4Pm.

The structure in POSCAR format:
```
SrCa4Pm
1.0
4.036 -0.191 0.001
0.191 4.036 0.001
0.002 0.002 15.447
Ca Pm Sr
4 1 1
direct
0.000 0.000 0.351
0.500 0.500 0.812
0.000 0.000 0.649
0.500 0.500 0.188
0.500 0.500 0.500
0.000 0.000 0.000
```

Results
Space group: P4/mmm, No. 123
E: -14.11 eV per cell

---

## SrCa2Pm (PBE-GGA)

Data for a relaxed structure of SrCa2Pm.

The structure in POSCAR format:
```
SrCa2Pm
1.0
-1.074 3.960 0.337
-3.530 -0.791 -1.965
-4.388 -1.927 8.661
Sr Ca Pm
1 2 1
direct
0.500 0.500 0.500
0.000 0.000 0.224
0.000 0.000 0.776
0.500 0.500 0.000
```

Results
Space group: P4/mmm, No. 123
E: -10.13 eV per cell

---

## SrCa2Pm (PBE-GGA)

Data for a relaxed structure of SrCa2Pm.

The structure in POSCAR format:
```
SrCa2Pm
1.0
3.877 0.000 0.000
1.939 3.358 0.000
1.939 1.119 12.854
Ca Pm Sr
2 1 1
direct
0.079 0.079 0.763
0.254 0.254 0.237
0.667 0.667 0.999
0.500 0.500 0.500
```

Results
Space group: R3m, No. 160
E: -10.08 eV per cell

---

no.,formation energy from the elements (eV per atom),magnetic moment (μB/f.u.)
1,0.1627,0.42
2,0.0346,0.72
3,0.1466,0.00
4,0.0835,0.00
5,0.1214,0.00
6,0.0543,0.00
7,0.0774,0.00
8,0.0894,0.00